# Na3Pm2HfS6, relaxed, DFT GGA-PBE
data_Na3Pm2HfS6
_chemical_formula_sum 'Na6 Pm4 Hf2 S12'
_cell_length_a 6.8340
_cell_length_b 11.8442
_cell_length_c 7.1114
_cell_angle_alpha 90.00
_cell_angle_beta 108.85
_cell_angle_gamma 90.00
_space_group_name_H-M_alt 'C 1 2/m 1'
_space_group_IT_number 12
_space_group_name_Hall '-C 2y'
loop_
_atom_site_label
_atom_site_fract_x
_atom_site_fract_y
_atom_site_fract_z
_atom_site_occupancy
Na1 0.0000 0.0000 0.0000 1
Na2 0.0000 0.3318 0.0000 1
Pm1 0.0000 0.1666 0.5000 1
Hf1 0.0000 0.5000 0.5000 1
S1 0.2314 0.3454 0.7293 1
S2 0.2326 0.5000 0.2734 1
# **Total magnetic moment**: 0.00 μB per formula unit
# **V**: 544.7 Å³ per cell
# **Formation energy without anion corrections**: -1667 meV per atom
# **Crystal system**: monoclinic


# Na3Pm2HfTe6, relaxed, DFT GGA-PBE
data_Na3Pm2HfTe6
_chemical_formula_sum 'Na6 Pm4 Hf2 Te12'
_cell_length_a 7.5726
_cell_length_b 13.1225
_cell_length_c 8.0417
_cell_angle_alpha 90.00
_cell_angle_beta 108.43
_cell_angle_gamma 90.00
_space_group_name_H-M_alt 'C 1 2/m 1'
_space_group_IT_number 12
_space_group_name_Hall '-C 2y'
loop_
_atom_site_label
_atom_site_fract_x
_atom_site_fract_y
_atom_site_fract_z
_atom_site_occupancy
Na1 0.0000 0.0000 0.0000 1
Na2 0.0000 0.3266 0.0000 1
Pm1 0.0000 0.1657 0.5000 1
Hf1 0.0000 0.5000 0.5000 1
Te1 0.2330 0.5000 0.2669 1
Te2 0.2337 0.3437 0.7327 1
# **Total magnetic moment**: 0.00 μB per formula unit
# **V**: 758.1 Å³ per cell
# **Formation energy without anion corrections**: -1140 meV per atom
# **Crystal system**: monoclinic